The following is a PBE calculation of a relaxed structure of BaCd3InHg6, from the Alexandria database.

The structure belongs to space group R3 (No. 146, hexagonal axes); the cell edges are 9.6173, 9.6173 and 12.0430 Å and the angles 90.00°, 90.00° and 120.00°. The inequivalent atoms are Ba at (0.0000, 0.0000, 0.0000), Cd at (0.0708, 0.3726, 0.4406), In at (0.0000, 0.0000, 0.6739), Hg at (0.1141, 0.7023, 0.1790) and Hg at (0.2118, 0.4514, 0.9395).

For the density of states at the Fermi level, the calculation gives 0.262 states/eV per atom. Its size of the total moment is 0.00 μB per formula unit. The mass density is 9.26 g cm⁻³. As for the crystal system: trigonal. The calculation puts the calculated volume at 964.7 Å³ per cell. The formation energy is -115 meV per atom. The raw total energy comes out at -0.953 eV/atom.

The following is a PBE calculation of a relaxed structure of BaCd8InHg2, from the Alexandria database.

The structure belongs to space group C2/m (No. 12); the cell edges are 11.4836, 5.9896 and 9.8791 Å and the angles 90.00°, 104.19° and 90.00°. The inequivalent atoms are Ba at (0.0000, 0.0000, 0.0000), Cd at (0.1826, 0.2492, 0.7370), Cd at (0.1884, 0.5000, 0.0058), Cd at (0.2097, 0.5000, 0.4940), In at (0.0000, 0.0000, 0.5000) and Hg at (0.0438, 0.5000, 0.2249).

For the density of states at the Fermi level, the calculation gives 0.301 states/eV per atom. Its size of the total moment is 0.00 μB per formula unit. The mass density is 7.83 g cm⁻³. As for the crystal system: monoclinic. The calculation puts the calculated volume at 658.8 Å³ per cell. The formation energy is -78 meV per atom. The raw total energy comes out at -1.126 eV/atom.

The following is a PBE calculation of a relaxed structure of Ba2CdIn3Hg4, from the Alexandria database.

The structure belongs to space group P-4m2 (No. 115); the cell edges are 4.9556, 4.9556 and 12.1840 Å and the angles 90.00°, 90.00° and 90.00°. The inequivalent atoms are Ba at (0.0000, 0.5000, 0.2469), Cd at (0.0000, 0.0000, 0.5000), In at (0.0000, 0.5000, 0.8683), In at (0.5000, 0.5000, 0.5000), Hg at (0.0000, 0.0000, 0.0000), Hg at (0.0000, 0.5000, 0.6333) and Hg at (0.5000, 0.5000, 0.0000).

For the density of states at the Fermi level, the calculation gives 0.576 states/eV per atom. Its size of the total moment is 0.00 μB per formula unit. The mass density is 8.51 g cm⁻³. As for the crystal system: tetragonal. The calculation puts the calculated volume at 299.2 Å³ per cell. The formation energy is -355 meV per atom. The raw total energy comes out at -1.774 eV/atom.

The following is a PBE calculation of a relaxed structure of BaCdInHg3, from the Alexandria database.

The structure belongs to space group Cmcm (No. 63); the cell edges are 6.9936, 14.9925 and 7.1690 Å and the angles 90.00°, 90.00° and 90.00°. The inequivalent atoms are Ba at (0.0000, 0.1815, 0.2500), Cd at (0.0000, 0.4074, 0.2500), In at (0.0000, 0.1410, 0.7500), Hg at (0.0000, 0.3593, 0.7500) and Hg at (0.2232, 0.0000, 0.0000).

For the density of states at the Fermi level, the calculation gives 0.463 states/eV per atom. Its size of the total moment is 0.00 μB per formula unit. The mass density is 8.54 g cm⁻³. As for the crystal system: orthorhombic. The calculation puts the calculated volume at 751.7 Å³ per cell. The formation energy is -166 meV per atom. The raw total energy comes out at -1.246 eV/atom.

The following is a PBE calculation of a relaxed structure of Ba3CdIn2Hg6, from the Alexandria database.

The structure belongs to space group P-3m1 (No. 164); the cell edges are 6.8138, 6.8138 and 9.7149 Å and the angles 90.00°, 90.00° and 120.00°. The inequivalent atoms are Ba at (0.0000, 0.0000, 0.0000), Ba at (0.3333, 0.6667, 0.6277), Cd at (0.0000, 0.0000, 0.5000), In at (0.3333, 0.6667, 0.0157) and Hg at (0.1790, 0.3580, 0.2814).

For the density of states at the Fermi level, the calculation gives 0.603 states/eV per atom. Its size of the total moment is 0.00 μB per formula unit. The mass density is 8.32 g cm⁻³. As for the crystal system: trigonal. The calculation puts the calculated volume at 390.6 Å³ per cell. The formation energy is -304 meV per atom. The raw total energy comes out at -1.468 eV/atom.

The following is a PBE calculation of a relaxed structure of BaCd2InHg2, from the Alexandria database.

The structure belongs to space group P-3m1 (No. 164); the cell edges are 5.0624, 5.0624 and 7.8839 Å and the angles 90.00°, 90.00° and 120.00°. The inequivalent atoms are Ba at (0.0000, 0.0000, 0.0000), Cd at (0.3333, 0.6667, 0.6727), In at (0.0000, 0.0000, 0.5000) and Hg at (0.3333, 0.6667, 0.2450).

For the density of states at the Fermi level, the calculation gives 0.607 states/eV per atom. Its size of the total moment is 0.00 μB per formula unit. The mass density is 8.33 g cm⁻³. As for the crystal system: trigonal. The calculation puts the calculated volume at 175.0 Å³ per cell. The formation energy is -275 meV per atom. The raw total energy comes out at -1.458 eV/atom.

The following is a PBE calculation of a relaxed structure of BaCd2InHg4, from the Alexandria database.

The structure belongs to space group R-3m (No. 166, hexagonal axes); the cell edges are 5.0347, 5.0347 and 30.9344 Å and the angles 90.00°, 90.00° and 120.00°. The inequivalent atoms are Ba at (0.0000, 0.0000, 0.0000), Cd at (0.0000, 0.0000, 0.2428), In at (0.0000, 0.0000, 0.5000), Hg at (0.0000, 0.0000, 0.1272) and Hg at (0.0000, 0.0000, 0.3938).

For the density of states at the Fermi level, the calculation gives 0.323 states/eV per atom. Its size of the total moment is 0.00 μB per formula unit. The mass density is 9.38 g cm⁻³. As for the crystal system: trigonal. The calculation puts the calculated volume at 679.1 Å³ per cell. The formation energy is -222 meV per atom. The raw total energy comes out at -1.184 eV/atom.

The following is a PBE calculation of a relaxed structure of Ba2Cd4In3Hg, from the Alexandria database.

The structure belongs to space group P-4m2 (No. 115); the cell edges are 4.9077, 4.9077 and 12.3768 Å and the angles 90.00°, 90.00° and 90.00°. The inequivalent atoms are Ba at (0.0000, 0.5000, 0.2503), Cd at (0.0000, 0.0000, 0.0000), Cd at (0.0000, 0.5000, 0.6345), Cd at (0.5000, 0.5000, 0.0000), In at (0.0000, 0.5000, 0.8669), In at (0.5000, 0.5000, 0.5000) and Hg at (0.0000, 0.0000, 0.5000).

For the density of states at the Fermi level, the calculation gives 0.550 states/eV per atom. Its size of the total moment is 0.00 μB per formula unit. The mass density is 7.07 g cm⁻³. As for the crystal system: tetragonal. The calculation puts the calculated volume at 298.1 Å³ per cell. The formation energy is -319 meV per atom. The raw total energy comes out at -1.921 eV/atom.

The following is a PBE calculation of a relaxed structure of Ba4CdIn2Hg, from the Alexandria database.

The structure belongs to space group R-3m (No. 166, hexagonal axes); the cell edges are 6.0163, 6.0163 and 29.5161 Å and the angles 90.00°, 90.00° and 120.00°. The inequivalent atoms are Ba at (0.0000, 0.0000, 0.1240), Ba at (0.0000, 0.0000, 0.3740), Cd at (0.0000, 0.0000, 0.5000), In at (0.0000, 0.0000, 0.2485) and Hg at (0.0000, 0.0000, 0.0000).

For the density of states at the Fermi level, the calculation gives 0.754 states/eV per atom. Its size of the total moment is 0.00 μB per formula unit. The mass density is 5.88 g cm⁻³. As for the crystal system: trigonal. The calculation puts the calculated volume at 925.2 Å³ per cell. The formation energy is -418 meV per atom. The raw total energy comes out at -2.216 eV/atom.

The following is a PBE calculation of a relaxed structure of Ba2Cd3InHg4, from the Alexandria database.

The structure belongs to space group P-4m2 (No. 115); the cell edges are 4.8267, 4.8267 and 12.7144 Å and the angles 90.00°, 90.00° and 90.00°. The inequivalent atoms are Ba at (0.0000, 0.5000, 0.2498), Cd at (0.0000, 0.0000, 0.0000), Cd at (0.0000, 0.5000, 0.6358), In at (0.5000, 0.5000, 0.0000), Hg at (0.0000, 0.0000, 0.5000), Hg at (0.0000, 0.5000, 0.8624) and Hg at (0.5000, 0.5000, 0.5000).

For the density of states at the Fermi level, the calculation gives 0.608 states/eV per atom. Its size of the total moment is 0.00 μB per formula unit. The mass density is 8.57 g cm⁻³. As for the crystal system: tetragonal. The calculation puts the calculated volume at 296.2 Å³ per cell. The formation energy is -335 meV per atom. The raw total energy comes out at -1.389 eV/atom.

The following is a PBE calculation of a relaxed structure of BaCdIn2Hg4, from the Alexandria database.

The structure belongs to space group R-3m (No. 166, hexagonal axes); the cell edges are 5.0829, 5.0829 and 30.3952 Å and the angles 90.00°, 90.00° and 120.00°. The inequivalent atoms are Ba at (0.0000, 0.0000, 0.0000), Cd at (0.0000, 0.0000, 0.5000), In at (0.0000, 0.0000, 0.2395), Hg at (0.0000, 0.0000, 0.1282) and Hg at (0.0000, 0.0000, 0.3946).

For the density of states at the Fermi level, the calculation gives 0.486 states/eV per atom. Its size of the total moment is 0.00 μB per formula unit. The mass density is 9.39 g cm⁻³. As for the crystal system: trigonal. The calculation puts the calculated volume at 680.1 Å³ per cell. The formation energy is -210 meV per atom. The raw total energy comes out at -1.400 eV/atom.

Please write out number 4 again, unchanged.
The following is a PBE calculation of a relaxed structure of BaCdInHg3, from the Alexandria database.

The structure belongs to space group Cmcm (No. 63); the cell edges are 6.9936, 14.9925 and 7.1690 Å and the angles 90.00°, 90.00° and 90.00°. The inequivalent atoms are Ba at (0.0000, 0.1815, 0.2500), Cd at (0.0000, 0.4074, 0.2500), In at (0.0000, 0.1410, 0.7500), Hg at (0.0000, 0.3593, 0.7500) and Hg at (0.2232, 0.0000, 0.0000).

For the density of states at the Fermi level, the calculation gives 0.463 states/eV per atom. Its size of the total moment is 0.00 μB per formula unit. The mass density is 8.54 g cm⁻³. As for the crystal system: orthorhombic. The calculation puts the calculated volume at 751.7 Å³ per cell. The formation energy is -166 meV per atom. The raw total energy comes out at -1.246 eV/atom.